(1)
{"formula": "SmCu6Pt4", "functional": "PBE-GGA", "state": "relaxed", "magmom_total_mub_per_fu": 0.00, "crystal_system": "tetragonal", "vol_a3_per_atom": 16.253, "ef_mev_per_atom": -87, "n_ef_per_ev_cell": 4.09, "e_tot_ev_per_atom": -4.9467, "sg": "I-42m", "cell": [[-3.060, 3.060, 4.773], [3.060, -3.060, 4.773], [3.060, 3.060, -4.773]], "species": ["Sm", "Cu", "Cu", "Cu", "Cu", "Cu", "Cu", "Pt", "Pt", "Pt", "Pt"], "frac_coords": [[0.000, 0.000, 0.000], [0.000, 0.500, 0.500], [0.261, 0.568, 0.000], [0.432, 0.432, 0.694], [0.500, 0.000, 0.500], [0.568, 0.261, 0.000], [0.739, 0.739, 0.306], [0.089, 0.089, 0.541], [0.451, 0.911, 0.000], [0.549, 0.549, 0.459], [0.911, 0.451, 0.000]]}

(2)
{"formula": "Rb3Np3InTe8", "functional": "PBE-GGA", "state": "relaxed", "magmom_total_mub_per_fu": 10.76, "crystal_system": "trigonal", "vol_a3_per_atom": 40.626, "n_ef_per_ev_cell": 27.51, "formation_energy_uncorrected_ev_per_atom": -0.750, "e_tot_ev_per_atom": -5.3902, "sg": "R-3m", "cell": [[4.519, 2.609, 8.615], [-4.519, 2.609, 8.615], [0.000, -5.218, 8.615]], "species": ["Rb", "Rb", "Rb", "Np", "Np", "Np", "In", "Te", "Te", "Te", "Te", "Te", "Te", "Te", "Te"], "frac_coords": [[0.000, 0.500, 0.500], [0.500, 0.000, 0.500], [0.500, 0.500, 0.000], [0.000, 0.000, 0.500], [0.000, 0.500, 0.000], [0.500, 0.000, 0.000], [0.500, 0.500, 0.500], [0.228, 0.733, 0.733], [0.233, 0.233, 0.233], [0.267, 0.267, 0.772], [0.267, 0.772, 0.267], [0.733, 0.228, 0.733], [0.733, 0.733, 0.228], [0.767, 0.767, 0.767], [0.772, 0.267, 0.267]]}

(3)
{"formula": "Sc11Al9Pt4", "functional": "PBE-GGA", "state": "relaxed", "magmom_total_mub_per_fu": 0.00, "crystal_system": "orthorhombic", "vol_a3_per_atom": 19.099, "ef_mev_per_atom": -779, "n_ef_per_ev_cell": 11.44, "e_tot_ev_per_atom": -6.0914, "sg": "Cmmm", "cell": [[6.765, -10.216, 0.000], [6.765, 10.216, 0.000], [0.000, 0.000, 3.316]], "species": ["Sc", "Sc", "Sc", "Sc", "Sc", "Sc", "Sc", "Sc", "Sc", "Sc", "Sc", "Al", "Al", "Al", "Al", "Al", "Al", "Al", "Al", "Al", "Pt", "Pt", "Pt", "Pt"], "frac_coords": [[0.000, 0.000, 0.000], [0.059, 0.409, 0.000], [0.161, 0.839, 0.000], [0.302, 0.302, 0.000], [0.370, 0.630, 0.000], [0.409, 0.059, 0.000], [0.591, 0.941, 0.000], [0.630, 0.370, 0.000], [0.698, 0.698, 0.000], [0.839, 0.161, 0.000], [0.941, 0.591, 0.000], [0.071, 0.214, 0.500], [0.161, 0.632, 0.500], [0.214, 0.071, 0.500], [0.368, 0.839, 0.500], [0.500, 0.500, 0.500], [0.632, 0.161, 0.500], [0.786, 0.929, 0.500], [0.839, 0.368, 0.500], [0.929, 0.786, 0.500], [0.241, 0.446, 0.500], [0.446, 0.241, 0.500], [0.554, 0.759, 0.500], [0.759, 0.554, 0.500]]}

- Which formula does entry 1 have?
  SmCu6Pt4